## LiTiTcSb (PBE)

Data for a relaxed structure of LiTiTcSb.

Geometry as CIF:
```
data_LiTiTcSb
_chemical_formula_sum 'Li1 Ti1 Tc1 Sb1'
_cell_length_a 4.476
_cell_length_b 4.476
_cell_length_c 4.476
_cell_angle_alpha 60.00
_cell_angle_beta 60.00
_cell_angle_gamma 60.00
_symmetry_space_group_name_H-M 'P 1'
_symmetry_Int_Tables_number 1
loop_
_symmetry_equiv_pos_as_xyz
'x,y,z'
loop_
_atom_site_label
_atom_site_type_symbol
_atom_site_fract_x
_atom_site_fract_y
_atom_site_fract_z
Ti1 Ti 0.250 0.250 0.250
Sb1 Sb 0.750 0.750 0.750
Li1 Li 0.500 0.500 0.500
Tc1 Tc 0.000 0.000 0.000
```

Computed properties:
Formation energy without anion corrections in eV per atom: -0.311
Space-group type: F-43m, No. 216

## Mn2GaHPt (PBE)

Data for a relaxed structure of Mn2GaHPt.

Geometry as CIF:
```
data_Mn2GaHPt
_chemical_formula_sum 'Mn2 Ga1 H1 Pt1'
_cell_length_a 3.732
_cell_length_b 3.732
_cell_length_c 4.143
_cell_angle_alpha 90.00
_cell_angle_beta 90.00
_cell_angle_gamma 90.00
_symmetry_space_group_name_H-M 'P 1'
_symmetry_Int_Tables_number 1
loop_
_symmetry_equiv_pos_as_xyz
'x,y,z'
loop_
_atom_site_label
_atom_site_type_symbol
_atom_site_fract_x
_atom_site_fract_y
_atom_site_fract_z
H1 H 0.000 0.000 0.000
Mn1 Mn 0.500 0.000 0.000
Mn2 Mn 0.000 0.500 0.000
Ga1 Ga 0.000 0.000 0.500
Pt1 Pt 0.500 0.500 0.500
```

Computed properties:
Energy relative to the lowest polymorph listed for this composition in meV per atom: 46
Space-group type: P4/mmm, No. 123

## BeAlP2Cl (PBE)

Data for a relaxed structure of BeAlP2Cl.

Geometry as CIF:
```
data_BeAlP2Cl
_chemical_formula_sum 'Be1 Al1 P2 Cl1'
_cell_length_a 4.706
_cell_length_b 4.706
_cell_length_c 4.571
_cell_angle_alpha 90.00
_cell_angle_beta 90.00
_cell_angle_gamma 90.00
_symmetry_space_group_name_H-M 'P 1'
_symmetry_Int_Tables_number 1
loop_
_symmetry_equiv_pos_as_xyz
'x,y,z'
loop_
_atom_site_label
_atom_site_type_symbol
_atom_site_fract_x
_atom_site_fract_y
_atom_site_fract_z
P1 P 0.500 0.000 0.000
P2 P 0.000 0.500 0.000
Al1 Al 0.000 0.000 0.000
Be1 Be 0.500 0.500 0.500
Cl1 Cl 0.000 0.000 0.500
```

Computed properties:
Energy relative to the lowest polymorph listed for this composition in meV per atom: 321
Formation energy without anion corrections in eV per atom: 0.752
Space-group type: P4/mmm, No. 123

no.,Fermi-level density of states (states/eV/cell)
1,5.62
2,3.91
3,4.65